No. 1
# Er6AgSe3S2 PBE-GGA relaxed
data_Er6AgSe3S2
_cell_length_a 6.9287
_cell_length_b 12.0095
_cell_length_c 6.9515
_cell_angle_alpha 90.00
_cell_angle_beta 109.51
_cell_angle_gamma 90.00
_space_group_name_H-M_alt 'C 1 2/m 1'
_space_group_IT_number 12
_space_group_name_Hall '-C 2y'
loop_
_atom_site_label
_atom_site_type_symbol
_atom_site_fract_x
_atom_site_fract_y
_atom_site_fract_z
_atom_site_occupancy
Er1 Er 0.2350 0.0000 0.2380 1
Er2 Er 0.2491 0.1727 0.7609 1
Ag1 Ag 0.0000 0.5000 0.0000 1
Se1 Se 0.0000 0.0000 0.5000 1
Se2 Se 0.0000 0.3348 0.5000 1
S1 S 0.0000 0.1659 0.0000 1
# V	22.718	Å³/atom
# magnetization	0.0000	μB/atom
# electronic total energy	-134.77	eV/cell


No. 2
# BaSr2H PBE-GGA relaxed
data_BaSr2H
_cell_length_a 7.9577
_cell_length_b 7.9577
_cell_length_c 11.2538
_cell_angle_alpha 90.00
_cell_angle_beta 90.00
_cell_angle_gamma 90.00
_space_group_name_H-M_alt 'I -4 2 d'
_space_group_IT_number 122
_space_group_name_Hall 'I -4 2bw'
loop_
_atom_site_label
_atom_site_type_symbol
_atom_site_fract_x
_atom_site_fract_y
_atom_site_fract_z
_atom_site_occupancy
Ba1 Ba 0.0000 0.0000 0.0000 1
Sr1 Sr 0.0020 0.2500 0.6250 1
H1 H 0.0000 0.0000 0.5000 1
# V	44.540	Å³/atom
# energy relative to the lowest polymorph listed for this composition	0	meV/atom
# magnetization	0.0000	μB/atom
# electronic total energy	-37.62	eV/cell


No. 3
# MgTa2P PBE-GGA relaxed
data_MgTa2P
_cell_length_a 3.3797
_cell_length_b 4.8206
_cell_length_c 8.6691
_cell_angle_alpha 90.00
_cell_angle_beta 90.00
_cell_angle_gamma 90.00
_space_group_name_H-M_alt 'I m m m'
_space_group_IT_number 71
_space_group_name_Hall '-I 2 2'
loop_
_atom_site_label
_atom_site_type_symbol
_atom_site_fract_x
_atom_site_fract_y
_atom_site_fract_z
_atom_site_occupancy
Mg1 Mg 0.0000 0.0000 0.0000 1
Ta1 Ta 0.0000 0.5000 0.2012 1
P1 P 0.0000 0.0000 0.5000 1
# V	17.655	Å³/atom
# energy relative to the lowest polymorph listed for this composition	49	meV/atom
# magnetization	0.0000	μB/atom
# electronic total energy	-61.82	eV/cell


No. 4
# Tm7Pb5 PBE-GGA relaxed
data_Tm7Pb5
_cell_length_a 13.1032
_cell_length_b 4.8814
_cell_length_c 11.8075
_cell_angle_alpha 90.00
_cell_angle_beta 111.83
_cell_angle_gamma 90.00
_space_group_name_H-M_alt 'C 1 2/m 1'
_space_group_IT_number 12
_space_group_name_Hall '-C 2y'
loop_
_atom_site_label
_atom_site_type_symbol
_atom_site_fract_x
_atom_site_fract_y
_atom_site_fract_z
_atom_site_occupancy
Tm1 Tm 0.0000 0.0000 0.0000 1
Tm2 Tm 0.0805 0.5000 0.2607 1
Tm3 Tm 0.1504 0.0000 0.7999 1
Tm4 Tm 0.1521 0.0000 0.5076 1
Pb1 Pb 0.0000 0.5000 0.5000 1
Pb2 Pb 0.1341 0.5000 0.9714 1
Pb3 Pb 0.2347 0.0000 0.2861 1
# V	29.212	Å³/atom
# magnetization	0.0000	μB/atom
# electronic total energy	-107.27	eV/cell


No. 5
# PrNd2Sm4Sc PBE-GGA relaxed
data_PrNd2Sm4Sc
_cell_length_a 5.9770
_cell_length_b 5.9770
_cell_length_c 7.4251
_cell_angle_alpha 90.00
_cell_angle_beta 90.00
_cell_angle_gamma 90.00
_space_group_name_H-M_alt 'P 4/m m m'
_space_group_IT_number 123
_space_group_name_Hall '-P 4 2'
loop_
_atom_site_label
_atom_site_type_symbol
_atom_site_fract_x
_atom_site_fract_y
_atom_site_fract_z
_atom_site_occupancy
Pr1 Pr 0.0000 0.0000 0.0000 1
Nd1 Nd 0.0000 0.0000 0.5000 1
Nd2 Nd 0.5000 0.5000 0.0000 1
Sm1 Sm 0.0000 0.5000 0.2623 1
Sc1 Sc 0.5000 0.5000 0.5000 1
# V	33.157	Å³/atom
# magnetization	0.0005	μB/atom
# electronic total energy	-38.51	eV/cell


No. 6
# RbAlTe2 PBE-GGA relaxed
data_RbAlTe2
_cell_length_a 4.2054
_cell_length_b 4.2054
_cell_length_c 8.5112
_cell_angle_alpha 90.00
_cell_angle_beta 90.00
_cell_angle_gamma 120.00
_space_group_name_H-M_alt 'P -3 m 1'
_space_group_IT_number 164
_space_group_name_Hall '-P 3 2"'
loop_
_atom_site_label
_atom_site_type_symbol
_atom_site_fract_x
_atom_site_fract_y
_atom_site_fract_z
_atom_site_occupancy
Rb1 Rb 0.0000 0.0000 0.0000 1
Al1 Al 0.0000 0.0000 0.5000 1
Te1 Te 0.3333 0.6667 0.3214 1
# V	32.586	Å³/atom
# magnetization	0.0000	μB/atom
# electronic total energy	-13.57	eV/cell


No. 7
# RePb3 PBE-GGA relaxed
data_RePb3
_cell_length_a 7.3315
_cell_length_b 7.3315
_cell_length_c 7.3315
_cell_angle_alpha 90.00
_cell_angle_beta 90.00
_cell_angle_gamma 90.00
_space_group_name_H-M_alt 'F m -3 m'
_space_group_IT_number 225
_space_group_name_Hall '-F 4 2 3'
loop_
_atom_site_label
_atom_site_type_symbol
_atom_site_fract_x
_atom_site_fract_y
_atom_site_fract_z
_atom_site_occupancy
Re1 Re 0.0000 0.0000 0.0000 1
Pb1 Pb 0.0000 0.0000 0.5000 1
Pb2 Pb 0.2500 0.2500 0.2500 1
# V	24.629	Å³/atom
# energy relative to the lowest polymorph listed for this composition	606	meV/atom
# magnetization	0.2376	μB/atom
# electronic total energy	-77.89	eV/cell


No. 8
# YMg2Al PBE-GGA relaxed
data_YMg2Al
_cell_length_a 4.2853
_cell_length_b 4.2853
_cell_length_c 21.7205
_cell_angle_alpha 90.00
_cell_angle_beta 90.00
_cell_angle_gamma 90.00
_space_group_name_H-M_alt 'I -4 2 d'
_space_group_IT_number 122
_space_group_name_Hall 'I -4 2bw'
loop_
_atom_site_label
_atom_site_type_symbol
_atom_site_fract_x
_atom_site_fract_y
_atom_site_fract_z
_atom_site_occupancy
Y1 Y 0.0000 0.0000 0.0000 1
Mg1 Mg 0.2311 0.2500 0.6250 1
Al1 Al 0.0000 0.0000 0.5000 1
# V	24.929	Å³/atom
# magnetization	0.0000	μB/atom
# electronic total energy	-51.72	eV/cell